A plane-wave DFT calculation with PBE was carried out for a relaxed LiYRe2 crystal.

Lattice parameters (Å, degrees): 4.486 4.486 5.612 99.29 99.29 42.31
Fractional positions:
Li (0.000, 0.000, 0.000)
Y (0.234, 0.234, 0.717)
Re (0.465, 0.465, 0.374)
Re (0.743, 0.743, 0.233)

Computed properties:
energy of formation from the pure elements = 0.32 eV/atom
symmetry = Cm
ρ = 10.39 g/cm³
offset from the most stable computed form = 137.3 meV per atom